No. 1
Below is crystalline AlTcAg at its relaxed geometry, with properties calculated at the PBE level.

The uncorrected energy comes out at -5.52 eV per atom. The value obtained for the density of states at the Fermi level is 0.99 states/eV per atom. The energy relative to the elements comes out at 0.41 eV/f.u. As for the excess energy over the best structure of this formula in the dataset: 36 meV/atom. Its volume is 15.7 A^3/atom.

It has space group Fmm2 (No. 42), with a = 3.3014 Å, b = 4.3890 Å, c = 13.0115 Å, α = 90.00°, β = 90.00° and γ = 90.00°. The inequivalent atoms are Al at (0.0000, 0.0000, 0.0000), Tc at (0.0000, 0.0000, 0.6488) and Ag at (0.0000, 0.0000, 0.3316).


No. 2
Below is crystalline Al2TcAg at its relaxed geometry, with properties calculated at the PBE level.

The uncorrected energy comes out at -5.42 eV per atom. The value obtained for the density of states at the Fermi level is 0.34 states/eV per atom. The energy relative to the elements comes out at -0.99 eV/f.u. Its volume is 14.9 A^3/atom.

It has space group P4/mmm (No. 123), with a = 4.2651 Å, b = 4.2651 Å, c = 3.2749 Å, α = 90.00°, β = 90.00° and γ = 90.00°. The inequivalent atoms are Al at (0.0000, 0.5000, 0.0000), Tc at (0.0000, 0.0000, 0.5000) and Ag at (0.5000, 0.5000, 0.5000).


No. 3
Below is crystalline AlTcAg2 at its relaxed geometry, with properties calculated at the PBE level.

The uncorrected energy comes out at -4.79 eV per atom. The value obtained for the density of states at the Fermi level is 0.44 states/eV per atom. The energy relative to the elements comes out at 0.67 eV/f.u. Its volume is 16.2 A^3/atom.

It has space group Cm (No. 8), with a = 10.1281 Å, b = 2.7398 Å, c = 5.1463 Å, α = 90.00°, β = 115.09° and γ = 90.00°. The inequivalent atoms are Al at (0.0000, 0.0000, 0.0000), Tc at (0.2608, 0.0000, 0.9394), Ag at (0.0023, 0.5000, 0.5232) and Ag at (0.2425, 0.5000, 0.4171).


No. 4
Below is crystalline AlTcAg2 at its relaxed geometry, with properties calculated at the PBE level.

The uncorrected energy comes out at -4.82 eV per atom. The value obtained for the density of states at the Fermi level is 0.78 states/eV per atom. The energy relative to the elements comes out at 0.54 eV/f.u. Its volume is 16.3 A^3/atom.

It has space group Pm (No. 6), with a = 2.7851 Å, b = 4.1910 Å, c = 5.7608 Å, α = 90.00°, β = 103.97° and γ = 90.00°. The inequivalent atoms are Al at (0.0000, 0.0000, 0.0000), Tc at (0.5828, 0.5000, 0.1639), Ag at (0.2343, 0.0000, 0.4637) and Ag at (0.8529, 0.5000, 0.6985).


No. 5
Below is crystalline AlTcAg2 at its relaxed geometry, with properties calculated at the PBE level.

The uncorrected energy comes out at -4.63 eV per atom. The value obtained for the density of states at the Fermi level is 0.52 states/eV per atom. The energy relative to the elements comes out at 1.31 eV/f.u. Its volume is 16.4 A^3/atom.

It has space group Cmmm (No. 65), with a = 2.9220 Å, b = 4.6772 Å, c = 9.5745 Å, α = 90.00°, β = 90.00° and γ = 90.00°. The inequivalent atoms are Al at (0.0000, 0.0000, 0.0000), Tc at (0.0000, 0.0000, 0.5000) and Ag at (0.0000, 0.5000, 0.2421).


No. 6
Below is crystalline AlTcAg at its relaxed geometry, with properties calculated at the PBE level.

The uncorrected energy comes out at -5.47 eV per atom. The value obtained for the density of states at the Fermi level is 1.16 states/eV per atom. The energy relative to the elements comes out at 0.55 eV/f.u. As for the excess energy over the best structure of this formula in the dataset: 82 meV/atom. Its volume is 15.6 A^3/atom.

It has space group P3m1 (No. 156), with a = 4.4192 Å, b = 4.4192 Å, c = 2.7711 Å, α = 90.00°, β = 90.00° and γ = 120.00°. The inequivalent atoms are Al at (0.0000, 0.0000, 0.0000), Tc at (0.3333, 0.6667, 0.4981) and Ag at (0.6667, 0.3333, 0.9972).


No. 7
Below is crystalline Al2TcAg at its relaxed geometry, with properties calculated at the PBE level.

The uncorrected energy comes out at -5.01 eV per atom. The value obtained for the density of states at the Fermi level is 0.42 states/eV per atom. The energy relative to the elements comes out at 0.66 eV/f.u. Its volume is 15.6 A^3/atom.

It has space group F-43m (No. 216), with a = 6.2900 Å, b = 6.2900 Å, c = 6.2900 Å, α = 90.00°, β = 90.00° and γ = 90.00°. The inequivalent atoms are Al at (0.0000, 0.0000, 0.0000), Al at (0.2500, 0.2500, 0.2500), Tc at (0.2500, 0.2500, 0.7500) and Ag at (0.0000, 0.0000, 0.5000).


No. 8
Below is crystalline AlTcAg2 at its relaxed geometry, with properties calculated at the PBE level.

The uncorrected energy comes out at -4.68 eV per atom. The value obtained for the density of states at the Fermi level is 0.88 states/eV per atom. The energy relative to the elements comes out at 1.07 eV/f.u. Its volume is 16.2 A^3/atom.

It has space group I-4m2 (No. 119), with a = 4.5023 Å, b = 4.5023 Å, c = 6.3919 Å, α = 90.00°, β = 90.00° and γ = 90.00°. The inequivalent atoms are Al at (0.0000, 0.0000, 0.0000), Tc at (0.0000, 0.5000, 0.2500), Ag at (0.0000, 0.0000, 0.5000) and Ag at (0.0000, 0.5000, 0.7500).


No. 9
Below is crystalline AlTcAg at its relaxed geometry, with properties calculated at the PBE level.

The uncorrected energy comes out at -5.16 eV per atom. The value obtained for the density of states at the Fermi level is 1.15 states/eV per atom. The energy relative to the elements comes out at 1.48 eV/f.u. As for the excess energy over the best structure of this formula in the dataset: 391 meV/atom. Its volume is 17.5 A^3/atom.

It has space group F-43m (No. 216), with a = 5.9466 Å, b = 5.9466 Å, c = 5.9466 Å, α = 90.00°, β = 90.00° and γ = 90.00°. The inequivalent atoms are Al at (0.0000, 0.0000, 0.0000), Tc at (0.2500, 0.2500, 0.7500) and Ag at (0.2500, 0.2500, 0.2500).


No. 10
Below is crystalline AlTcAg2 at its relaxed geometry, with properties calculated at the PBE level.

The uncorrected energy comes out at -4.65 eV per atom. The value obtained for the density of states at the Fermi level is 0.85 states/eV per atom. The energy relative to the elements comes out at 1.22 eV/f.u. Its volume is 16.2 A^3/atom.

It has space group Pmmm (No. 47), with a = 2.7334 Å, b = 4.3102 Å, c = 5.5069 Å, α = 90.00°, β = 90.00° and γ = 90.00°. The inequivalent atoms are Al at (0.0000, 0.0000, 0.0000), Tc at (0.0000, 0.0000, 0.5000) and Ag at (0.5000, 0.5000, 0.2501).


No. 11
Below is crystalline Al2TcAg at its relaxed geometry, with properties calculated at the PBE level.

The uncorrected energy comes out at -5.30 eV per atom. The value obtained for the density of states at the Fermi level is 0.37 states/eV per atom. The energy relative to the elements comes out at -0.50 eV/f.u. Its volume is 15.8 A^3/atom.

It has space group R-3m (No. 166, hexagonal axes), with a = 2.9052 Å, b = 2.9052 Å, c = 26.0167 Å, α = 90.00°, β = 90.00° and γ = 120.00°. The inequivalent atoms are Al at (0.0000, 0.0000, 0.2432), Tc at (0.0000, 0.0000, 0.5000) and Ag at (0.0000, 0.0000, 0.0000).


No. 12
Below is crystalline AlTcAg2 at its relaxed geometry, with properties calculated at the PBE level.

The uncorrected energy comes out at -4.85 eV per atom. The value obtained for the density of states at the Fermi level is 0.75 states/eV per atom. The energy relative to the elements comes out at 0.39 eV/f.u. Its volume is 16.1 A^3/atom.

It has space group Pmm2 (No. 25), with a = 2.7827 Å, b = 2.7944 Å, c = 8.3013 Å, α = 90.00°, β = 90.00° and γ = 90.00°. The inequivalent atoms are Al at (0.0000, 0.0000, 0.0000), Tc at (0.5000, 0.5000, 0.7833), Ag at (0.0000, 0.0000, 0.5237) and Ag at (0.5000, 0.5000, 0.2488).


No. 13
Below is crystalline AlTcAg2 at its relaxed geometry, with properties calculated at the PBE level.

The uncorrected energy comes out at -4.71 eV per atom. The value obtained for the density of states at the Fermi level is 0.55 states/eV per atom. The energy relative to the elements comes out at 0.98 eV/f.u. Its volume is 16.2 A^3/atom.

It has space group Cmmm (No. 65), with a = 5.4042 Å, b = 8.7972 Å, c = 2.7302 Å, α = 90.00°, β = 90.00° and γ = 90.00°. The inequivalent atoms are Al at (0.0000, 0.0000, 0.0000), Tc at (0.0000, 0.5000, 0.0000) and Ag at (0.2500, 0.2500, 0.5000).


No. 14
Below is crystalline AlTcAg2 at its relaxed geometry, with properties calculated at the PBE level.

The uncorrected energy comes out at -4.76 eV per atom. The value obtained for the density of states at the Fermi level is 0.54 states/eV per atom. The energy relative to the elements comes out at 0.76 eV/f.u. Its volume is 16.4 A^3/atom.

It has space group C2/m (No. 12), with a = 5.4154 Å, b = 9.8785 Å, c = 2.7402 Å, α = 90.00°, β = 116.72° and γ = 90.00°. The inequivalent atoms are Al at (0.0000, 0.0000, 0.0000), Tc at (0.0000, 0.5000, 0.0000) and Ag at (0.2500, 0.2500, 0.5000).


No. 15
Below is crystalline AlTc4Ag at its relaxed geometry, with properties calculated at the PBE level.

The uncorrected energy comes out at -7.62 eV per atom. The value obtained for the density of states at the Fermi level is 0.96 states/eV per atom. The energy relative to the elements comes out at 2.32 eV/f.u. Its volume is 16.1 A^3/atom.

It has space group F-43m (No. 216), with a = 7.2776 Å, b = 7.2776 Å, c = 7.2776 Å, α = 90.00°, β = 90.00° and γ = 90.00°. The inequivalent atoms are Al at (0.0000, 0.0000, 0.0000), Tc at (0.1246, 0.1246, 0.6246) and Ag at (0.2500, 0.2500, 0.2500).


No. 16
Below is crystalline Al2TcAg at its relaxed geometry, with properties calculated at the PBE level.

The uncorrected energy comes out at -4.90 eV per atom. The value obtained for the density of states at the Fermi level is 0.13 states/eV per atom. The energy relative to the elements comes out at 1.10 eV/f.u. Its volume is 16.7 A^3/atom.

It has space group I-42d (No. 122), with a = 6.8472 Å, b = 6.8472 Å, c = 5.7051 Å, α = 90.00°, β = 90.00° and γ = 90.00°. The inequivalent atoms are Al at (0.2502, 0.2500, 0.1250), Tc at (0.0000, 0.0000, 0.0000) and Ag at (0.0000, 0.0000, 0.5000).


No. 17
Below is crystalline Al2TcAg at its relaxed geometry, with properties calculated at the PBE level.

The uncorrected energy comes out at -5.11 eV per atom. The value obtained for the density of states at the Fermi level is 0.60 states/eV per atom. The energy relative to the elements comes out at 0.24 eV/f.u. Its volume is 15.9 A^3/atom.

It has space group R3m (No. 160, hexagonal axes), with a = 2.8716 Å, b = 2.8716 Å, c = 26.6720 Å, α = 90.00°, β = 90.00° and γ = 120.00°. The inequivalent atoms are Al at (0.0000, 0.0000, 0.0000), Al at (0.0000, 0.0000, 0.2484), Tc at (0.0000, 0.0000, 0.5057) and Ag at (0.0000, 0.0000, 0.7492).


No. 18
Below is crystalline Al2TcAg at its relaxed geometry, with properties calculated at the PBE level.

The uncorrected energy comes out at -5.32 eV per atom. The value obtained for the density of states at the Fermi level is 0.25 states/eV per atom. The energy relative to the elements comes out at -0.57 eV/f.u. Its volume is 15.2 A^3/atom.

It has space group I-4m2 (No. 119), with a = 3.6828 Å, b = 3.6828 Å, c = 8.9863 Å, α = 90.00°, β = 90.00° and γ = 90.00°. The inequivalent atoms are Al at (0.0000, 0.0000, 0.0000), Al at (0.0000, 0.5000, 0.2500), Tc at (0.0000, 0.0000, 0.5000) and Ag at (0.0000, 0.5000, 0.7500).


No. 19
Below is crystalline Al4TcAg at its relaxed geometry, with properties calculated at the PBE level.

The uncorrected energy comes out at -4.62 eV per atom. The value obtained for the density of states at the Fermi level is 0.10 states/eV per atom. The energy relative to the elements comes out at 0.49 eV/f.u. Its volume is 15.6 A^3/atom.

It has space group F-43m (No. 216), with a = 7.2059 Å, b = 7.2059 Å, c = 7.2059 Å, α = 90.00°, β = 90.00° and γ = 90.00°. The inequivalent atoms are Al at (0.1250, 0.1250, 0.1250), Tc at (0.2500, 0.2500, 0.7500) and Ag at (0.0000, 0.0000, 0.5000).


No. 20
Below is crystalline AlTcAg at its relaxed geometry, with properties calculated at the PBE level.

The uncorrected energy comes out at -5.51 eV per atom. The value obtained for the density of states at the Fermi level is 0.97 states/eV per atom. The energy relative to the elements comes out at 0.43 eV/f.u. As for the excess energy over the best structure of this formula in the dataset: 43 meV/atom. Its volume is 15.6 A^3/atom.

It has space group Imm2 (No. 44), with a = 2.7820 Å, b = 3.2437 Å, c = 10.3955 Å, α = 90.00°, β = 90.00° and γ = 90.00°. The inequivalent atoms are Al at (0.0000, 0.0000, 0.0000), Tc at (0.0000, 0.0000, 0.6439) and Ag at (0.0000, 0.0000, 0.3330).